(1)
RbHf2Rh2: optimized geometry, PBE.

Summary:
E above lowest polymorph = 0.000 eV per formula unit
DFT total energy = -7.2654 eV per atom
ΔE_f = -72 kJ/mol of formula units

Cell: 8.271 8.271 3.085 Å, 90.00 90.00 90.00°
Space group P4/mbm (No. 127)
Inequivalent atoms, fractional coordinates:
Rb1 0.000 0.000 0.000 (multiplicity 2)
Hf1 0.137 0.363 0.000 (multiplicity 4)
Rh1 0.138 0.638 0.500 (multiplicity 4)

---

(2)
NaLiNd2Te4: optimized geometry, PBE.

Summary:
DFT total energy = -4.4718 eV per atom
formation energy from raw total energies = -1.3049 eV/atom

Cell: 7.774 4.516 7.820 Å, 90.00 109.61 90.00°
Space group P2/m (No. 10)
Inequivalent atoms, fractional coordinates:
Na1 0.000 0.000 0.000 (multiplicity 1)
Li1 0.000 0.500 0.500 (multiplicity 1)
Nd1 0.500 0.000 0.500 (multiplicity 1)
Nd2 0.500 0.500 0.000 (multiplicity 1)
Te1 0.248 0.000 0.745 (multiplicity 2)
Te2 0.251 0.500 0.254 (multiplicity 2)